[1]
Below is an optimized crystal structure of CsCrP3, with properties calculated at the GGA-PBE level.

Results
The distance to the lowest polymorph of the same formula comes out at 9.98 eV/f.u. The value obtained for the volume is 31.812 A^3/atom. For the formation energy, the calculation gives 2.29 eV/atom. The value obtained for the spin magnetization is 0.52 μB per atom.

Lattice parameters (Å, degrees): 5.4182 5.4182 5.4182 90.00 90.00 90.00
Closest atoms and distances in Å follow each position.
Atoms (fractional coordinates):
1 Cs 0.0000 0.0000 0.0000  6 P 2.71
2 Cr 0.5000 0.5000 0.5000  12 P 3.83
3 P 0.0000 0.0000 0.5000  2 Cs 2.71
4 P 0.0000 0.5000 0.0000  2 Cs 2.71
5 P 0.5000 0.0000 0.0000  2 Cs 2.71

=====

[2]
Below is an optimized crystal structure of NbSn2Rh, with properties calculated at the GGA-PBE level.

Results
The value obtained for the volume is 18.671 A^3/atom. For the formation energy, the calculation gives -0.13 eV/atom. The value obtained for the spin magnetization is 0.12 μB per atom.

Lattice parameters (Å, degrees): 3.2668 3.2668 6.9981 90.00 90.00 90.00
Closest atoms and distances in Å follow each position.
Atoms (fractional coordinates):
1 Nb 0.0000 0.0000 0.0000  8 Sn 2.98, 4 Nb 3.27
2 Sn 0.5000 0.5000 0.2687  4 Rh 2.82, 4 Nb 2.98
3 Sn 0.5000 0.5000 0.7313  4 Rh 2.82, 4 Nb 2.98
4 Rh 0.0000 0.0000 0.5000  8 Sn 2.82

=====

[3]
Below is an optimized crystal structure of Er2Fe4Si9, with properties calculated at the GGA-PBE level.

Results
The value obtained for the volume is 14.283 A^3/atom. Its total energy is -6.4564 eV/atom. The value obtained for the spin magnetization is 0.00 μB per atom.

Lattice parameters (Å, degrees): 3.9394 3.9394 15.9411 90.00 90.00 120.00
Closest atoms and distances in Å follow each position.
Atoms (fractional coordinates):
1 Er 0.3333 0.6667 0.2584  8 Si 2.85-3.16, 3 Fe 3.18
2 Er 0.6667 0.3333 0.7416  8 Si 2.85-3.16, 3 Fe 3.18
3 Fe 0.3333 0.6667 0.6020  7 Si 2.31-2.46
4 Fe 0.3333 0.6667 0.9103  7 Si 2.30-2.49
5 Fe 0.6667 0.3333 0.0897  7 Si 2.30-2.49
6 Fe 0.6667 0.3333 0.3980  7 Si 2.31-2.46
7 Si 0.0000 0.0000 0.0000  8 Si 2.41-2.51, 6 Fe 2.69
8 Si 0.0000 0.0000 0.1510  4 Si 2.41-2.64, 3 Fe 2.48
9 Si 0.0000 0.0000 0.3725  3 Fe 2.31
10 Si 0.0000 0.0000 0.6275  3 Fe 2.31
11 Si 0.0000 0.0000 0.8490  4 Si 2.41-2.64, 3 Fe 2.48
12 Si 0.3333 0.6667 0.0665  4 Fe 2.30-2.49, 3 Si 2.51
13 Si 0.3333 0.6667 0.4569  4 Fe 2.31-2.46
14 Si 0.6667 0.3333 0.5431  4 Fe 2.31-2.46
15 Si 0.6667 0.3333 0.9335  4 Fe 2.30-2.49, 3 Si 2.51

=====

[4]
Below is an optimized crystal structure of La6FeAg2, with properties calculated at the GGA-PBE level.

Results
The value obtained for the volume is 31.564 A^3/atom. For the formation energy, the calculation gives -0.09 eV/atom. The value obtained for the spin magnetization is 0.00 μB per atom.

Lattice parameters (Å, degrees): 7.1585 7.5489 12.5739 90.00 123.26 90.00
Closest atoms and distances in Å follow each position.
Atoms (fractional coordinates):
1 La 0.1444 0.0130 0.2480  1 Fe 2.70
2 La 0.1444 0.4870 0.7480  1 Fe 2.70
3 La 0.2415 0.7006 0.0501  1 Fe 2.70
4 La 0.2415 0.7994 0.5501  1 Fe 2.70
5 La 0.3474 0.1958 0.0476  1 Fe 2.66
6 La 0.3474 0.3042 0.5476  1 Fe 2.66
7 La 0.6526 0.6958 0.4524  1 Fe 2.66
8 La 0.6526 0.8042 0.9524  1 Fe 2.66
9 La 0.7585 0.2006 0.4499  1 Fe 2.70
10 La 0.7585 0.2994 0.9499  1 Fe 2.70
11 La 0.8556 0.5130 0.2520  1 Fe 2.70
12 La 0.8556 0.9870 0.7520  1 Fe 2.70
13 Fe 0.0000 0.0000 0.0000  6 La 2.66-2.70
14 Fe 0.0000 0.5000 0.5000  6 La 2.66-2.70
15 Ag 0.2952 0.0816 0.7575  6 La 3.17-3.32
16 Ag 0.2952 0.4184 0.2575  6 La 3.17-3.32
17 Ag 0.7048 0.5816 0.7425  6 La 3.17-3.32
18 Ag 0.7048 0.9184 0.2425  6 La 3.17-3.32

=====

[5]
Below is an optimized crystal structure of CrSbSe2, with properties calculated at the GGA-PBE level.

Results
The distance to the lowest polymorph of the same formula comes out at 1.06 eV/f.u. The value obtained for the volume is 23.660 A^3/atom. The value obtained for the spin magnetization is 0.24 μB per atom.

Lattice parameters (Å, degrees): 5.8995 5.8995 5.5781 105.31 105.31 30.45
Closest atoms and distances in Å follow each position.
Atoms (fractional coordinates):
1 Cr 0.0000 0.0000 0.0000  4 Se 2.39-2.40
2 Sb 0.3361 0.3361 0.6420  2 Cr 2.80, 1 Se 2.82, 2 Sb 3.10
3 Se 0.4905 0.4905 0.3237  2 Cr 2.40
4 Se 0.6501 0.6501 0.9454  2 Cr 2.39

=====

[6]
Below is an optimized crystal structure of Cd2BiPb9, with properties calculated at the GGA-PBE level.

Results
The value obtained for the volume is 30.510 A^3/atom. For the formation energy, the calculation gives 0.04 eV/atom. The value obtained for the spin magnetization is 0.00 μB per atom.

Lattice parameters (Å, degrees): 4.8926 4.8926 15.2950 90.00 90.00 90.00
Closest atoms and distances in Å follow each position.
Atoms (fractional coordinates):
1 Cd 0.0000 0.0000 0.1628  12 Pb 3.46-3.49
2 Cd 0.0000 0.0000 0.8372  12 Pb 3.46-3.49
3 Bi 0.0000 0.0000 0.5000  12 Pb 3.46-3.63
4 Pb 0.0000 0.5000 0.0000  8 Pb 3.46-3.50, 4 Cd 3.49
5 Pb 0.0000 0.5000 0.3245  8 Pb 3.46-3.63, 2 Cd 3.48, 2 Bi 3.63
6 Pb 0.0000 0.5000 0.6755  8 Pb 3.46-3.63, 2 Cd 3.48, 2 Bi 3.63
7 Pb 0.5000 0.0000 0.0000  8 Pb 3.46-3.50, 4 Cd 3.49
8 Pb 0.5000 0.0000 0.3245  8 Pb 3.46-3.63, 2 Cd 3.48, 2 Bi 3.63
9 Pb 0.5000 0.0000 0.6755  8 Pb 3.46-3.63, 2 Cd 3.48, 2 Bi 3.63
10 Pb 0.5000 0.5000 0.1640  4 Cd 3.46, 8 Pb 3.47-3.50
11 Pb 0.5000 0.5000 0.5000  4 Bi 3.46, 8 Pb 3.63
12 Pb 0.5000 0.5000 0.8360  4 Cd 3.46, 8 Pb 3.47-3.50

=====

[7]
Below is an optimized crystal structure of La7PrY2, with properties calculated at the GGA-PBE level.

Results
The distance to the lowest polymorph of the same formula comes out at 1.35 eV/f.u. The value obtained for the volume is 35.963 A^3/atom. For the formation energy, the calculation gives 0.15 eV/atom. The value obtained for the spin magnetization is 0.00 μB per atom.

Lattice parameters (Å, degrees): 15.2171 15.2171 3.5385 90.00 90.00 153.97
Closest atoms and distances in Å follow each position.
Atoms (fractional coordinates):
1 La 0.0000 0.0000 0.0000  6 La 3.47-3.54, 4 Pr 3.86
2 La 0.1545 0.3565 0.0000  7 La 3.35-3.62, 1 Y 3.55
3 La 0.3085 0.6915 0.5000  6 La 3.54-3.62, 6 Y 3.54-3.88
4 La 0.3565 0.1545 0.0000  7 La 3.35-3.62, 1 Y 3.55
5 La 0.6435 0.8455 0.0000  7 La 3.35-3.62, 1 Y 3.55
6 La 0.6915 0.3085 0.5000  6 La 3.54-3.62, 6 Y 3.54-3.88
7 La 0.8455 0.6435 0.0000  7 La 3.35-3.62, 1 Y 3.55
8 Pr 0.5000 0.5000 0.5000  2 Pr 3.54, 12 La 3.86
9 Y 0.2051 0.7949 0.0000  2 Y 3.54, 8 La 3.54-3.88
10 Y 0.7949 0.2051 0.0000  2 Y 3.54, 8 La 3.54-3.88

=====

[8]
Below is an optimized crystal structure of Ba2TlAg, with properties calculated at the GGA-PBE level.

Results
The distance to the lowest polymorph of the same formula comes out at 0.35 eV/f.u. The value obtained for the volume is 36.556 A^3/atom. For the formation energy, the calculation gives -0.23 eV/atom. The value obtained for the spin magnetization is 0.00 μB per atom.

Lattice parameters (Å, degrees): 7.0390 7.0390 7.0390 145.48 131.65 60.75
Closest atoms and distances in Å follow each position.
Atoms (fractional coordinates):
1 Ba 0.0000 0.0000 0.0000  4 Ag 3.60, 2 Ba 3.77, 4 Tl 3.95-3.96
2 Ba 0.6999 0.1999 0.5000  2 Ag 3.65, 4 Tl 3.68, 2 Ba 3.77
3 Tl 0.2765 0.7765 0.5000  2 Ag 3.00
4 Ag 0.4537 0.4537 0.0000  2 Tl 3.00

=====

[9]
Below is an optimized crystal structure of Ho3Sc7Rh4, with properties calculated at the GGA-PBE level.

Results
The value obtained for the volume is 22.175 A^3/atom. For the formation energy, the calculation gives -0.54 eV/atom. The value obtained for the spin magnetization is 0.00 μB per atom.

Lattice parameters (Å, degrees): 9.0135 9.0135 10.8453 121.55 121.55 24.66
Closest atoms and distances in Å follow each position.
Atoms (fractional coordinates):
1 Ho 0.0000 0.0000 0.0000  4 Rh 3.10
2 Ho 0.3162 0.3162 0.3124  4 Rh 2.96-3.27, 1 Sc 3.30
3 Ho 0.6838 0.6838 0.6876  4 Rh 2.96-3.27, 1 Sc 3.30
4 Sc 0.0000 0.0000 0.5000  2 Rh 2.94, 4 Sc 3.13
5 Sc 0.1688 0.1688 0.4117  2 Rh 2.63
6 Sc 0.3181 0.3181 0.9776  4 Rh 2.64-2.94
7 Sc 0.4926 0.4926 0.7211  3 Rh 2.71-2.75
8 Sc 0.5074 0.5074 0.2789  3 Rh 2.71-2.75
9 Sc 0.6819 0.6819 0.0224  4 Rh 2.64-2.94
10 Sc 0.8312 0.8312 0.5883  2 Rh 2.63
11 Rh 0.1204 0.1204 0.8201  6 Sc 2.67-2.94, 2 Ho 2.96
12 Rh 0.3551 0.3551 0.7714  4 Sc 2.63-2.75
13 Rh 0.6449 0.6449 0.2286  4 Sc 2.63-2.75
14 Rh 0.8796 0.8796 0.1799  6 Sc 2.67-2.94, 2 Ho 2.96

=====

[10]
Below is an optimized crystal structure of Tc2AgRu, with properties calculated at the GGA-PBE level.

Results
The distance to the lowest polymorph of the same formula comes out at 0.38 eV/f.u. The value obtained for the volume is 15.128 A^3/atom. For the formation energy, the calculation gives 0.33 eV/atom. The value obtained for the spin magnetization is 0.00 μB per atom.

Lattice parameters (Å, degrees): 2.7135 2.7135 8.2184 90.00 90.00 90.00
Closest atoms and distances in Å follow each position.
Atoms (fractional coordinates):
1 Tc 0.0000 0.0000 0.2312  4 Ru 2.70, 4 Tc 2.71, 4 Ag 2.93
2 Tc 0.0000 0.0000 0.7688  4 Ru 2.70, 4 Tc 2.71, 4 Ag 2.93
3 Ag 0.5000 0.5000 0.5000  4 Ag 2.71, 8 Tc 2.93
4 Ru 0.5000 0.5000 0.0000  8 Tc 2.70, 4 Ru 2.71

=====

[11]
Below is an optimized crystal structure of SrCaCo2, with properties calculated at the GGA-PBE level.

Results
The distance to the lowest polymorph of the same formula comes out at 0.29 eV/f.u. The value obtained for the volume is 28.139 A^3/atom. For the formation energy, the calculation gives 0.28 eV/atom. The value obtained for the spin magnetization is 0.51 μB per atom.

Lattice parameters (Å, degrees): 5.5044 5.5044 7.0273 125.34 125.34 42.37
Closest atoms and distances in Å follow each position.
Atoms (fractional coordinates):
1 Sr 0.0000 0.0000 0.0000  6 Co 3.10-3.20
2 Ca 0.5000 0.5000 0.5000  6 Co 2.91-3.02
3 Co 0.2455 0.2455 0.5630  2 Co 2.20
4 Co 0.7545 0.7545 0.4370  2 Co 2.20